<P>
An optimized crystal structure of Ca2TlSI. Source: Alexandria, functional PBE.

Values from the calculation:
Crystal system: tetragonal
Total magnetization: 0.00 μB per cell

Unit cell a=6.0253 b=5.2113 c=6.0253 alpha=90.00 beta=90.00 gamma=90.00
Positions (direct):
I 0.5000 0.5000 0.5000
Tl 0.0000 0.0000 0.0000
S 0.0000 0.5000 0.0000
Ca 0.0000 0.0000 0.5000
Ca 0.5000 0.0000 0.0000

<Q>
An optimized crystal structure of Ca2TlSI. Source: Alexandria, functional PBE.

Values from the calculation:
Crystal system: tetragonal
Total magnetization: 0.00 μB per cell

Unit cell a=5.3925 b=6.4122 c=5.3925 alpha=90.00 beta=90.00 gamma=90.00
Positions (direct):
I 0.5000 0.5000 0.5000
Tl 0.0000 0.5000 0.0000
S 0.0000 0.0000 0.0000
Ca 0.0000 0.0000 0.5000
Ca 0.5000 0.0000 0.0000

What is the stability order? It is <Q>, <P>, from most stable to least stable.

<P>
An optimized crystal structure of CaSbSeI2. Source: Alexandria, functional PBE.

Values from the calculation:
Crystal system: tetragonal
Total magnetization: 0.46 μB per cell

Unit cell a=5.8283 b=5.8283 c=6.5376 alpha=90.00 beta=90.00 gamma=90.00
Last column: magnetic moment on the atom in μB.
Positions (direct):
I 0.0000 0.5000 0.0000  0.00
I 0.5000 0.0000 0.0000  0.00
Sb 0.0000 0.0000 0.5000  -0.40
Ca 0.0000 0.0000 0.0000  0.00
Se 0.5000 0.5000 0.5000  0.89

<Q>
An optimized crystal structure of CaSbSeI2. Source: Alexandria, functional PBE.

Values from the calculation:
Crystal system: tetragonal
Total magnetization: 0.00 μB per cell

Unit cell a=5.7705 b=5.7705 c=5.5416 alpha=90.00 beta=90.00 gamma=90.00
Positions (direct):
I 0.0000 0.5000 0.0000
I 0.5000 0.0000 0.0000
Sb 0.0000 0.0000 0.5000
Ca 0.5000 0.5000 0.5000
Se 0.0000 0.0000 0.0000

What is the stability order? It is <Q>, <P>, from most stable to least stable.

<P>
An optimized crystal structure of CaTcSb2I. Source: Alexandria, functional PBE.

Values from the calculation:
Crystal system: tetragonal
Total magnetization: 0.00 μB per cell

Unit cell a=5.1122 b=5.1122 c=5.9267 alpha=90.00 beta=90.00 gamma=90.00
Positions (direct):
I 0.0000 0.0000 0.5000
Sb 0.0000 0.5000 0.0000
Sb 0.5000 0.0000 0.0000
Ca 0.5000 0.5000 0.5000
Tc 0.0000 0.0000 0.0000

<Q>
An optimized crystal structure of CaTcSb2I. Source: Alexandria, functional PBE.

Values from the calculation:
Crystal system: tetragonal
Total magnetization: 3.88 μB per cell

Unit cell a=5.8266 b=5.8266 c=5.7531 alpha=90.00 beta=90.00 gamma=90.00
Last column: magnetic moment on the atom in μB.
Positions (direct):
I 0.0000 0.0000 0.5000  -0.03
Sb 0.0000 0.5000 0.0000  -0.15
Sb 0.5000 0.0000 0.0000  -0.15
Ca 0.0000 0.0000 0.0000  0.01
Tc 0.5000 0.5000 0.5000  3.92

What is the stability order? It is <P>, <Q>, from most stable to least stable.

<P>
An optimized crystal structure of CaSbTeI2. Source: Alexandria, functional PBE.

Values from the calculation:
Crystal system: tetragonal
Total magnetization: 0.98 μB per cell

Unit cell a=5.8401 b=5.8401 c=6.3111 alpha=90.00 beta=90.00 gamma=90.00
Last column: magnetic moment on the atom in μB.
Positions (direct):
I 0.0000 0.5000 0.0000  -0.01
I 0.5000 0.0000 0.0000  -0.01
Sb 0.5000 0.5000 0.5000  0.64
Ca 0.0000 0.0000 0.0000  0.00
Te 0.0000 0.0000 0.5000  -0.32

<Q>
An optimized crystal structure of CaSbTeI2. Source: Alexandria, functional PBE.

Values from the calculation:
Crystal system: tetragonal
Total magnetization: 0.00 μB per cell

Unit cell a=5.8790 b=5.8790 c=6.0680 alpha=90.00 beta=90.00 gamma=90.00
Positions (direct):
I 0.0000 0.5000 0.0000
I 0.5000 0.0000 0.0000
Sb 0.0000 0.0000 0.0000
Ca 0.5000 0.5000 0.5000
Te 0.0000 0.0000 0.5000

<R>
An optimized crystal structure of CaSbTeI2. Source: Alexandria, functional PBE.

Values from the calculation:
Crystal system: tetragonal
Total magnetization: 0.53 μB per cell

Unit cell a=5.7925 b=5.7925 c=6.5922 alpha=90.00 beta=90.00 gamma=90.00
Last column: magnetic moment on the atom in μB.
Positions (direct):
I 0.0000 0.5000 0.0000  0.02
I 0.5000 0.0000 0.0000  0.02
Sb 0.0000 0.0000 0.5000  -0.33
Ca 0.0000 0.0000 0.0000  0.00
Te 0.5000 0.5000 0.5000  0.71

What is the stability order? It is <Q>, <P>, <R>, from most stable to least stable.